[1]
Material: NaSbSeS
Method: DFT, PBE-GGA
State: relaxed

Total magnetization   0.00 μB/cell
E_tot   -3.903 eV/atom
SG   R3m, No. 160
Formation energy from raw total energies   -0.64 eV per atom

Structure (extended XYZ):
```
4
Lattice="2.033 1.174 6.948 -2.033 1.174 6.948 0.000 -2.347 6.948" Properties=species:S:1:pos:R:3 pbc="T T T"
Na 0.000 0.000 0.000
Sb 0.000 0.000 10.233
Se 0.000 0.000 4.964
S 0.000 0.000 15.637
```



[2]
Material: NaSi2SbS6
Method: DFT, PBE-GGA
State: relaxed

Total magnetization   0.00 μB/cell
E_tot   -4.681 eV/atom
SG   C2/c, No. 15
Formation energy from raw total energies   -0.58 eV per atom

Structure (extended XYZ):
```
20
Lattice="6.298 -5.693 0.000 6.298 5.693 0.000 -1.956 0.000 6.430" Properties=species:S:1:pos:R:3 pbc="T T T"
Na 4.830 4.492 4.822
Na 5.809 -4.492 1.607
Si 2.119 1.026 4.989
Si 3.097 -1.026 1.774
Si 7.542 1.026 4.655
Si 8.520 -1.026 1.441
Sb 5.809 2.631 1.607
Sb 4.830 -2.631 4.822
S 0.095 1.073 4.268
S 2.766 2.919 5.565
S 1.073 -1.073 1.054
S 3.482 0.498 3.313
S 6.895 2.919 4.079
S 4.460 -0.498 0.098
S 6.179 0.498 6.331
S 3.744 -2.919 2.350
S 7.157 -0.498 3.116
S 9.566 1.073 5.376
S 7.873 -2.919 0.864
S 10.544 -1.073 2.161
```



[3]
Material: Na2SiSbS4
Method: DFT, PBE-GGA
State: relaxed

Total magnetization   0.00 μB/cell
E_tot   -4.267 eV/atom
SG   Pmn2_1, No. 31
Formation energy from raw total energies   -0.68 eV per atom

Structure (extended XYZ):
```
16
Lattice="8.885 0.000 0.000 0.000 7.197 0.000 0.000 0.000 6.661" Properties=species:S:1:pos:R:3 pbc="T T T"
Na 2.219 1.252 0.000
Na 2.223 5.944 3.330
Na 6.666 1.252 0.000
Na 6.661 5.944 3.330
Si 0.000 2.564 3.352
Si 4.442 4.633 0.022
Sb 0.000 4.949 6.183
Sb 4.442 2.248 2.853
S 0.000 2.554 5.567
S 0.000 4.561 2.690
S 1.748 1.478 2.742
S 2.695 5.718 6.072
S 4.442 2.636 6.021
S 4.442 4.643 2.236
S 6.190 5.718 6.072
S 7.137 1.478 2.742
```



[4]
Material: Na3Sm2SbS6
Method: DFT, PBE-GGA
State: relaxed

Total magnetization   0.00 μB/cell
E_tot   -4.953 eV/atom
SG   C2/m, No. 12
Formation energy from raw total energies   -1.43 eV per atom

Structure (extended XYZ):
```
12
Lattice="3.513 -6.085 0.000 3.513 6.085 0.000 -2.338 0.000 6.688" Properties=species:S:1:pos:R:3 pbc="T T T"
Na 0.000 0.000 0.000
Na 3.513 1.989 0.000
Na 3.513 -1.989 0.000
Sm 2.344 4.054 3.344
Sm 2.344 -4.054 3.344
Sb 2.344 0.000 3.344
S 1.186 2.005 1.802
S 0.028 0.000 4.876
S 1.186 -2.005 1.802
S 3.502 2.005 4.886
S 4.660 0.000 1.812
S 3.502 -2.005 4.886
```



[5]
Material: Na2SmSbS4
Method: DFT, PBE-GGA
State: relaxed

Total magnetization   0.00 μB/cell
E_tot   -4.732 eV/atom
SG   P2/m, No. 10
Formation energy from raw total energies   -1.23 eV per atom

Structure (extended XYZ):
```
8
Lattice="7.018 0.000 0.000 0.000 4.036 0.000 -2.323 0.000 6.699" Properties=species:S:1:pos:R:3 pbc="T T T"
Na 0.000 0.000 0.000
Na 3.509 2.018 0.000
Sm -1.161 2.018 3.350
Sb 2.348 0.000 3.350
S 0.039 0.000 4.890
S 1.192 2.018 1.807
S 3.503 2.018 4.892
S 4.656 0.000 1.809
```



[6]
Material: Na4Sm3SbS8
Method: DFT, PBE-GGA
State: relaxed

Total magnetization   0.00 μB/cell
E_tot   -5.061 eV/atom
SG   R-3m, No. 166
Formation energy from raw total energies   -1.53 eV per atom

Structure (extended XYZ):
```
16
Lattice="4.063 2.346 6.689 -4.063 2.346 6.689 0.000 -4.691 6.689" Properties=species:S:1:pos:R:3 pbc="T T T"
Na 0.000 0.000 0.000
Na -2.031 -1.173 6.689
Na -2.031 1.173 13.378
Na 0.000 2.346 6.689
Sm -4.063 0.000 10.034
Sm -2.031 1.173 3.345
Sm 2.031 1.173 3.345
Sb 0.000 0.000 10.034
S 0.000 0.000 4.891
S -2.009 -1.160 11.572
S 0.000 -2.320 8.496
S -2.009 1.160 8.496
S 2.009 -1.160 11.572
S 0.000 2.320 11.572
S 2.009 1.160 8.496
S 0.000 0.000 15.177
```



[7]
Material: Na2SnSbS
Method: DFT, PBE-GGA
State: relaxed

Total magnetization   1.82 μB/cell
E_tot   -2.634 eV/atom
SG   P4/mmm, No. 123
Formation energy from raw total energies   0.34 eV per atom

Structure (extended XYZ):
```
5
Lattice="6.155 0.000 0.000 0.000 6.155 0.000 0.000 0.000 4.991" Properties=species:S:1:pos:R:3 pbc="T T T"
Na 0.000 3.078 0.000
Na 3.078 0.000 0.000
Sn 0.000 0.000 0.000
Sb 3.078 3.078 2.495
S 0.000 0.000 2.495
```



[8]
Material: NaSnSbS3
Method: DFT, PBE-GGA
State: relaxed

Total magnetization   0.00 μB/cell
E_tot   -4.181 eV/atom
SG   P2_1/m, No. 11
Formation energy from raw total energies   -0.54 eV per atom

Structure (extended XYZ):
```
12
Lattice="7.899 0.000 0.000 0.000 3.869 0.000 -2.214 0.000 12.849" Properties=species:S:1:pos:R:3 pbc="T T T"
Na 1.434 0.967 2.450
Na 4.252 2.902 10.398
Sn -0.625 2.902 8.031
Sn 6.310 0.967 4.817
Sb 0.833 0.967 11.364
Sb 4.852 2.902 1.485
S -0.412 2.902 3.532
S 2.521 2.902 0.617
S 1.513 2.902 9.639
S 4.173 0.967 3.210
S 3.165 0.967 12.231
S 6.097 0.967 9.316
```